Entry 1:
Material: La2LuNi
Method: DFT, PBE
State: relaxed

Its total magnetic moment is 0.0 μB per formula unit. As for the density of states at the Fermi level: 5.97 states/eV/cell. The total energy is -5.10 eV/atom. The energy of formation comes out at -0.06 eV/atom. The space group is P4/mmm.

Structure (extended XYZ):
```
4
Lattice="3.6812 0.0000 0.0000 0.0000 3.6812 0.0000 0.0000 0.0000 8.2112" Properties=species:S:1:pos:R:3 pbc="T T T"
La 0.0000 0.0000 1.6481
La 0.0000 0.0000 6.5631
Lu 1.8406 1.8406 4.1056
Ni 1.8406 1.8406 0.0000
```



Entry 2:
Material: LaLuNi4
Method: DFT, PBE
State: relaxed

Its total magnetic moment is 0.0 μB per formula unit. As for the density of states at the Fermi level: 3.49 states/eV/cell. The total energy is -5.83 eV/atom. The energy of formation comes out at -0.40 eV/atom. The space group is F-43m.

Structure (extended XYZ):
```
6
Lattice="0.0000 3.6136 3.6136 3.6136 0.0000 3.6136 3.6136 3.6136 0.0000" Properties=species:S:1:pos:R:3 pbc="T T T"
La 0.0000 0.0000 0.0000
Lu 5.4205 5.4205 5.4205
Ni 2.7196 2.7196 2.7196
Ni 4.5077 4.5077 2.7196
Ni 4.5077 2.7196 4.5077
Ni 2.7196 4.5077 4.5077
```



- Number 1 is which compound?
  La2LuNi



- Look up the energy of formation of the first one.
  -0.06 eV/atom